No. 1
## La6Cu6O17 (PBE)

Data for an optimized crystal structure of La6Cu6O17.

The structure in POSCAR format:
```
La6Cu6O17
1.0
-4.074 -4.862 -2.383
6.727 -0.783 -0.217
0.296 -5.567 9.006
Cu O La
6 17 6
Direct
0.000 0.000 0.500
0.000 0.500 0.000
0.000 0.000 0.000
0.663 0.337 0.500
0.500 0.000 0.000
0.337 0.663 0.500
0.134 0.472 0.143
0.831 0.169 0.500
0.500 0.500 0.500
0.472 0.134 0.143
0.436 0.760 0.329
0.528 0.866 0.857
0.886 0.886 0.668
0.564 0.240 0.671
0.167 0.833 0.000
0.189 0.189 0.856
0.833 0.167 0.000
0.760 0.436 0.329
0.866 0.528 0.857
0.114 0.114 0.332
0.169 0.831 0.500
0.240 0.564 0.671
0.811 0.811 0.144
0.786 0.120 0.260
0.457 0.457 0.237
0.880 0.214 0.740
0.543 0.543 0.763
0.214 0.880 0.740
0.120 0.786 0.260
```

Formation energy (no corrections) ... -59.51 eV per formula unit
Final energy ... -6.826 eV per atom


No. 2
## U2PdPt7 (PBE)

Data for an optimized crystal structure of U2PdPt7.

The structure in POSCAR format:
```
U2PdPt7
1.0
3.964 0.000 0.000
0.000 8.151 -0.760
0.000 -4.277 6.979
Pt U Pd
7 2 1
Direct
0.500 0.909 0.707
0.500 0.707 0.909
0.000 0.185 0.815
0.500 0.293 0.091
0.500 0.091 0.293
0.000 0.815 0.185
0.500 0.500 0.500
0.500 0.310 0.690
0.500 0.690 0.310
0.000 0.000 0.000
```

ΔH_f (0 K) ... -0.101 eV/atom
Final energy ... -7.107 eV per atom


No. 3
## LaYCd (PBE)

Data for an optimized crystal structure of LaYCd.

The structure in POSCAR format:
```
LaYCd
1.0
-4.781 -4.174 -3.096
-4.327 -5.570 0.359
-3.338 1.392 1.004
Y La Cd
1 1 1
Direct
0.649 0.649 0.351
0.341 0.341 0.659
0.009 0.009 0.991
```

ΔH_f (0 K) ... -0.203 eV/atom
Final energy ... -4.306 eV per atom


No. 4
## Ta6FeOs5 (PBE)

Data for an optimized crystal structure of Ta6FeOs5.

The structure in POSCAR format:
```
Ta6FeOs5
1.0
0.241 3.605 -2.463
-5.927 -1.507 -2.785
-3.189 1.603 5.918
Os Fe Ta
5 1 6
Direct
0.335 0.000 0.669
0.665 0.000 0.331
0.668 0.500 0.336
0.332 0.500 0.664
0.000 0.500 0.000
0.000 0.000 0.000
0.500 0.243 0.000
0.165 0.753 0.329
0.500 0.757 0.000
0.165 0.247 0.329
0.835 0.753 0.671
0.835 0.247 0.671
```

ΔH_f (0 K) ... -0.256 eV/atom
Final energy ... -11.566 eV per atom


No. 5
## ErPd2Pb (PBE)

Data for an optimized crystal structure of ErPd2Pb.

The structure in POSCAR format:
```
ErPd2Pb
1.0
4.851 0.000 0.000
2.425 4.201 0.000
2.425 1.400 3.960
Pd Pb Er
2 1 1
Direct
0.750 0.750 0.750
0.250 0.250 0.250
0.000 0.000 0.000
0.500 0.500 0.500
```

ΔH_f (0 K) ... -0.704 eV/atom
Final energy ... -5.368 eV per atom


No. 6
## NaSr3La3Se8 (PBE)

Data for an optimized crystal structure of NaSr3La3Se8.

The structure in POSCAR format:
```
NaSr3La3Se8
1.0
-8.463 -0.168 -2.075
6.024 -1.345 -6.156
-1.386 -6.084 6.145
Se Sr La Na
8 3 3 1
Direct
0.753 0.012 0.265
0.748 0.496 0.744
0.247 0.988 0.735
0.740 0.988 0.735
0.753 0.505 0.265
0.252 0.504 0.256
0.260 0.012 0.265
0.247 0.495 0.735
0.000 0.500 0.000
0.000 0.000 0.000
0.500 0.500 0.000
0.500 0.500 0.500
0.000 0.500 0.500
0.500 0.000 0.500
0.000 0.000 0.500
```

Formation energy (no corrections) ... -28.32 eV per formula unit
Final energy ... -5.156 eV per atom


No. 7
## Mg2TcH5 (PBE)

Data for an optimized crystal structure of Mg2TcH5.

The structure in POSCAR format:
```
Mg2TcH5
1.0
-2.085 -3.109 2.674
-3.823 1.891 -1.723
3.003 -1.653 -3.067
H Mg Tc
5 2 1
Direct
0.762 0.762 0.508
0.234 0.234 0.000
0.254 0.762 0.000
0.762 0.254 0.000
0.254 0.254 0.492
0.254 0.754 0.500
0.754 0.254 0.500
0.502 0.502 0.000
```

Final energy ... -3.931 eV per atom


No. 8
## RbAu2F7 (PBE)

Data for an optimized crystal structure of RbAu2F7.

The structure in POSCAR format:
```
RbAu2F7
1.0
-0.647 -2.061 -3.679
4.369 -4.513 1.760
-6.871 -1.204 1.883
Au F Rb
2 7 1
Direct
0.500 0.334 0.668
0.500 0.666 0.332
0.500 0.346 0.307
0.500 0.961 0.307
0.500 0.039 0.693
0.500 0.654 0.693
0.500 0.500 0.000
0.000 0.665 0.331
0.000 0.335 0.669
0.000 0.000 0.000
```

Formation energy (no corrections) ... -13.34 eV per formula unit
Final energy ... -3.397 eV per atom